The following is a DFT calculation (PBE+U) of a relaxed SmCo2F8 crystal.

a = 6.7202 Å, b = 6.7202 Å, c = 6.7202 Å
α = 127.48°, β = 127.48°, γ = 77.48°
Fractional coordinates of all 11 atoms:
Sm1 0.0000 0.0000 0.0000
Co1 0.2500 0.7500 0.5000
Co2 0.7500 0.2500 0.5000
F1 0.0107 0.8261 0.5818
F2 0.1739 0.9893 0.4182
F3 0.2443 0.4289 0.4182
F4 0.4289 0.0107 0.1846
F5 0.5711 0.7557 0.5818
F6 0.7557 0.1739 0.1846
F7 0.8261 0.2443 0.8154
F8 0.9893 0.5711 0.8154

Properties
Size of the total moment in μB/cell: 7.00
Fermi-level density of states in states/eV/f.u.: 6.88
E in eV per atom: -5.36
Space-group type: No. 97